# 1
Below is an optimized crystal structure of Ac2Pr4SmDy, with properties calculated at the PBE level.

a b c (Å): 6.4280 3.7746 12.5063
angles (deg): 90.00 100.45 90.00
Space group P2/m (No. 10)
Inequivalent atoms, fractional coordinates:
Ac1 0.0000 0.0000 0.0000 x1
Ac2 0.0000 0.5000 0.5000 x1
Pr1 0.2538 0.0000 0.7517 x2
Pr2 0.2549 0.5000 0.2536 x2
Sm1 0.5000 0.5000 0.0000 x1
Dy1 0.5000 0.0000 0.5000 x1

# 2
Below is an optimized crystal structure of NaPrMgHg, with properties calculated at the PBE level.

a b c (Å): 7.4151 7.4151 7.4151
angles (deg): 90.00 90.00 90.00
Space group F-43m (No. 216)
Inequivalent atoms, fractional coordinates:
Na1 0.0000 0.0000 0.0000 x4
Pr1 0.2500 0.2500 0.7500 x4
Mg1 0.2500 0.2500 0.2500 x4
Hg1 0.0000 0.0000 0.5000 x4

# 3
Below is an optimized crystal structure of Pm12Ga3Bi5, with properties calculated at the PBE level.

a b c (Å): 18.2377 18.2377 18.2377
angles (deg): 90.00 90.00 90.00
Space group Ia-3d (No. 230)
Inequivalent atoms, fractional coordinates:
Pm1 0.0132 0.0767 0.6532 x96
Ga1 0.0000 0.2500 0.1250 x24
Bi1 0.0000 0.0000 0.0000 x16
Bi2 0.0000 0.2500 0.3750 x24

# 4
Below is an optimized crystal structure of Sc3InMo, with properties calculated at the PBE level.

a b c (Å): 5.0452 5.0452 5.0452
angles (deg): 90.00 90.00 90.00
Space group Pm-3m (No. 221)
Inequivalent atoms, fractional coordinates:
Sc1 0.0000 0.0000 0.5000 x3
In1 0.5000 0.5000 0.5000 x1
Mo1 0.0000 0.0000 0.0000 x1

The relative energy among the computed polymorphs is 0 meV/atom.

Record-wise electronic total energy values, in eV per atom: -4.550; -2.203; -4.474; -6.156
Record-wise Fermi-level density of states values, in states/eV per cell: 12.931; 5.210; 118.595; 7.340
Record-wise energy of formation from the pure elements values, in kcal/mol of atoms: 0.734; -4.706; -4.604; 8.237